# 1
Below is a relaxed structure of NiICl, with properties calculated at the PBE-GGA level.

calculated total energy: -3.34 eV per atom
magnetization: 1.990 μB per cell
V: 80 Å³/cell
space-group type: No. 156

a b c (Å): 3.754 3.754 6.556
angles (deg): 90.00 90.00 120.00
Element x y z (fractional)
Ni (0.000, 0.000, 0.000)
I (0.333, 0.667, 0.762)
Cl (0.667, 0.333, 0.189)

# 2
Below is a relaxed structure of NiICl3, with properties calculated at the PBE-GGA level.

calculated total energy: -2.59 eV per atom
magnetization: 0.000 μB per cell
V: 107 Å³/cell
space-group type: No. 221

a b c (Å): 4.742 4.742 4.742
angles (deg): 90.00 90.00 90.00
Element x y z (fractional)
Ni (0.000, 0.000, 0.000)
I (0.500, 0.500, 0.500)
Cl (0.000, 0.000, 0.500)
Cl (0.000, 0.500, 0.000)
Cl (0.500, 0.000, 0.000)

# 3
Below is a relaxed structure of Ni3ICl, with properties calculated at the PBE-GGA level.

calculated total energy: -3.20 eV per atom
magnetization: 2.000 μB per cell
V: 109 Å³/cell
space-group type: No. 221

a b c (Å): 4.782 4.782 4.782
angles (deg): 90.00 90.00 90.00
Element x y z (fractional)
Ni (0.000, 0.000, 0.500)
Ni (0.000, 0.500, 0.000)
Ni (0.500, 0.000, 0.000)
I (0.000, 0.000, 0.000)
Cl (0.500, 0.500, 0.500)

# 4
Below is a relaxed structure of NiICl, with properties calculated at the PBE-GGA level.

calculated total energy: -3.31 eV per atom
magnetization: 3.069 μB per cell
V: 174 Å³/cell
space-group type: No. 11

a b c (Å): 3.594 5.080 9.667
angles (deg): 90.00 99.37 90.00
Element x y z (fractional)
Ni (0.203, 0.250, 0.393)
Ni (0.797, 0.750, 0.607)
I (0.383, 0.750, 0.803)
I (0.617, 0.250, 0.197)
Cl (0.222, 0.750, 0.436)
Cl (0.778, 0.250, 0.564)

# 5
Below is a relaxed structure of Ni3ICl, with properties calculated at the PBE-GGA level.

calculated total energy: -3.49 eV per atom
magnetization: 0.000 μB per cell
V: 84 Å³/cell
space-group type: No. 221

a b c (Å): 4.375 4.375 4.375
angles (deg): 90.00 90.00 90.00
Element x y z (fractional)
Ni (0.000, 0.000, 0.500)
Ni (0.000, 0.500, 0.000)
Ni (0.500, 0.000, 0.000)
I (0.500, 0.500, 0.500)
Cl (0.000, 0.000, 0.000)

# 6
Below is a relaxed structure of Ni2ICl2, with properties calculated at the PBE-GGA level.

calculated total energy: -3.03 eV per atom
magnetization: 4.784 μB per cell
V: 273 Å³/cell
space-group type: No. 127

a b c (Å): 9.343 9.343 3.129
angles (deg): 90.00 90.00 90.00
Element x y z (fractional)
Ni (0.084, 0.416, 0.000)
Ni (0.416, 0.916, 0.000)
Ni (0.584, 0.084, 0.000)
Ni (0.916, 0.584, 0.000)
I (0.000, 0.000, 0.500)
I (0.500, 0.500, 0.500)
Cl (0.117, 0.617, 0.500)
Cl (0.383, 0.117, 0.500)
Cl (0.617, 0.883, 0.500)
Cl (0.883, 0.383, 0.500)

Q: The highest magnetization belongs to which entry?
A: Ni2ICl2

Q: Look up the calculated total energy of the third one.
A: -3.20 eV per atom

Q: Number 2 is which compound?
A: NiICl3

Q: Which formula does entry 5 have?
A: Ni3ICl